1.
# Rb4La3CdO8 | Alexandria via LeMat-Bulk | GGA-PBE | optimized geometry
# **Formation energy from raw total energies**: -2.150 eV per atom
# **Calculated total energy**: -93.6 eV/cell
# **N(E_F)**: 13.8 states/eV/cell
data_Rb4La3CdO8
_space_group_name_H-M_alt 'P 1'
_space_group_IT_number 1
_cell_length_a 7.446
_cell_length_b 7.446
_cell_length_c 7.800
_cell_angle_alpha 117.73
_cell_angle_beta 117.73
_cell_angle_gamma 58.67
loop_
_space_group_symop_operation_xyz
'x,y,z'
loop_
_atom_site_label
_atom_site_fract_x
_atom_site_fract_y
_atom_site_fract_z
Rb1 0.000 0.000 0.000
Rb2 0.000 0.500 0.000
Rb3 0.500 0.000 0.000
Rb4 0.500 0.500 0.000
La1 0.000 0.000 0.500
La2 0.000 0.500 0.500
La3 0.500 0.000 0.500
Cd1 0.500 0.500 0.500
O1 0.225 0.225 0.681
O2 0.233 0.724 0.683
O3 0.255 0.255 0.303
O4 0.276 0.767 0.317
O5 0.724 0.233 0.683
O6 0.745 0.745 0.697
O7 0.767 0.276 0.317
O8 0.775 0.775 0.319

---

2.
# TbV2Os | Alexandria via LeMat-Bulk | GGA-PBE | optimized geometry
# **Calculated total energy**: -33.4 eV/cell
# **N(E_F)**: 6.5 states/eV/cell
data_TbV2Os
_space_group_name_H-M_alt 'P 1'
_space_group_IT_number 1
_cell_length_a 4.504
_cell_length_b 4.504
_cell_length_c 4.504
_cell_angle_alpha 60.00
_cell_angle_beta 60.00
_cell_angle_gamma 60.00
loop_
_space_group_symop_operation_xyz
'x,y,z'
loop_
_atom_site_label
_atom_site_fract_x
_atom_site_fract_y
_atom_site_fract_z
Tb1 0.000 0.000 0.000
V1 0.250 0.250 0.250
V2 0.750 0.750 0.750
Os1 0.500 0.500 0.500

---

3.
# Zr12Mo3Pd5 | Alexandria via LeMat-Bulk | GGA-PBE | optimized geometry
# **Calculated total energy**: -618.9 eV/cell
# **N(E_F)**: 96.3 states/eV/cell
data_Zr12Mo3Pd5
_space_group_name_H-M_alt 'P 1'
_space_group_IT_number 1
_cell_length_a 13.693
_cell_length_b 13.693
_cell_length_c 13.693
_cell_angle_alpha 109.47
_cell_angle_beta 109.47
_cell_angle_gamma 109.47
loop_
_space_group_symop_operation_xyz
'x,y,z'
loop_
_atom_site_label
_atom_site_fract_x
_atom_site_fract_y
_atom_site_fract_z
Zr1 0.058 0.227 0.134
Zr2 0.058 0.331 0.924
Zr3 0.076 0.634 0.407
Zr4 0.076 0.942 0.669
Zr5 0.093 0.727 0.669
Zr6 0.093 0.866 0.424
Zr7 0.134 0.058 0.227
Zr8 0.134 0.576 0.907
Zr9 0.169 0.227 0.593
Zr10 0.169 0.442 0.576
Zr11 0.227 0.134 0.058
Zr12 0.227 0.593 0.169
Zr13 0.273 0.331 0.907
Zr14 0.273 0.442 0.366
Zr15 0.331 0.907 0.273
Zr16 0.331 0.924 0.058
Zr17 0.366 0.273 0.442
Zr18 0.366 0.593 0.924
Zr19 0.407 0.076 0.634
Zr20 0.407 0.831 0.773
Zr21 0.424 0.093 0.866
Zr22 0.424 0.831 0.558
Zr23 0.442 0.366 0.273
Zr24 0.442 0.576 0.169
Zr25 0.558 0.424 0.831
Zr26 0.558 0.634 0.727
Zr27 0.576 0.169 0.442
Zr28 0.576 0.907 0.134
Zr29 0.593 0.169 0.227
Zr30 0.593 0.924 0.366
Zr31 0.634 0.407 0.076
Zr32 0.634 0.727 0.558
Zr33 0.669 0.076 0.942
Zr34 0.669 0.093 0.727
Zr35 0.727 0.558 0.634
Zr36 0.727 0.669 0.093
Zr37 0.773 0.407 0.831
Zr38 0.773 0.866 0.942
Zr39 0.831 0.558 0.424
Zr40 0.831 0.773 0.407
Zr41 0.866 0.424 0.093
Zr42 0.866 0.942 0.773
Zr43 0.907 0.134 0.576
Zr44 0.907 0.273 0.331
Zr45 0.924 0.058 0.331
Zr46 0.924 0.366 0.593
Zr47 0.942 0.669 0.076
Zr48 0.942 0.773 0.866
Mo1 0.125 0.250 0.375
Mo2 0.125 0.375 0.750
Mo3 0.250 0.375 0.125
Mo4 0.250 0.875 0.625
Mo5 0.375 0.125 0.250
Mo6 0.375 0.750 0.125
Mo7 0.625 0.250 0.875
Mo8 0.625 0.875 0.750
Mo9 0.750 0.125 0.375
Mo10 0.750 0.625 0.875
Mo11 0.875 0.625 0.250
Mo12 0.875 0.750 0.625
Pd1 0.000 0.000 0.000
Pd2 0.000 0.000 0.500
Pd3 0.000 0.500 0.000
Pd4 0.000 0.500 0.500
Pd5 0.125 0.750 0.875
Pd6 0.125 0.875 0.250
Pd7 0.250 0.125 0.875
Pd8 0.250 0.625 0.375
Pd9 0.375 0.250 0.625
Pd10 0.375 0.625 0.750
Pd11 0.500 0.000 0.000
Pd12 0.500 0.000 0.500
Pd13 0.500 0.500 0.000
Pd14 0.500 0.500 0.500
Pd15 0.625 0.375 0.250
Pd16 0.625 0.750 0.375
Pd17 0.750 0.375 0.625
Pd18 0.750 0.875 0.125
Pd19 0.875 0.125 0.750
Pd20 0.875 0.250 0.125

---

4.
# Sr4TlCu | Alexandria via LeMat-Bulk | GGA-PBE | optimized geometry
# **Energy relative to the lowest polymorph listed for this composition**: 0.0 meV per atom
# **Calculated total energy**: -28.0 eV/cell
# **N(E_F)**: 11.4 states/eV/cell
data_Sr4TlCu
_space_group_name_H-M_alt 'P 1'
_space_group_IT_number 1
_cell_length_a 9.176
_cell_length_b 9.176
_cell_length_c 7.226
_cell_angle_alpha 107.08
_cell_angle_beta 107.08
_cell_angle_gamma 112.08
loop_
_space_group_symop_operation_xyz
'x,y,z'
loop_
_atom_site_label
_atom_site_fract_x
_atom_site_fract_y
_atom_site_fract_z
Sr1 0.056 0.700 0.911
Sr2 0.232 0.353 0.716
Sr3 0.300 0.944 0.589
Sr4 0.353 0.232 0.216
Sr5 0.647 0.768 0.784
Sr6 0.700 0.056 0.411
Sr7 0.768 0.647 0.284
Sr8 0.944 0.300 0.089
Tl1 0.366 0.634 0.250
Tl2 0.634 0.366 0.750
Cu1 0.002 0.998 0.750
Cu2 0.998 0.002 0.250

---

5.
# YHo2Te | Alexandria via LeMat-Bulk | GGA-PBE | optimized geometry
# **Formation energy from raw total energies**: -0.546 eV per atom
# **Energy relative to the lowest polymorph listed for this composition**: 108.2 meV per atom
# **Calculated total energy**: -20.9 eV/cell
# **N(E_F)**: 4.9 states/eV/cell
data_YHo2Te
_space_group_name_H-M_alt 'P 1'
_space_group_IT_number 1
_cell_length_a 3.860
_cell_length_b 3.860
_cell_length_c 7.855
_cell_angle_alpha 90.00
_cell_angle_beta 90.00
_cell_angle_gamma 90.00
loop_
_space_group_symop_operation_xyz
'x,y,z'
loop_
_atom_site_label
_atom_site_fract_x
_atom_site_fract_y
_atom_site_fract_z
Y1 0.000 0.000 0.000
Ho1 0.500 0.500 0.275
Ho2 0.500 0.500 0.725
Te1 0.000 0.000 0.500